Entry 1:
A relaxed structure of PaGaFeAu. Source: Alexandria via LeMat-Bulk, functional PBE-GGA.

Computed properties:
N(E_F): 17.4 states/eV/cell
formation energy from the elements: -70 meV/atom

a = 6.7027 Å, b = 6.7027 Å, c = 6.7027 Å
α = 90.00°, β = 90.00°, γ = 90.00°
Atoms (fractional coordinates):
Pa: 0.0000 0.0000 0.0000
Pa: 0.0000 0.5000 0.5000
Pa: 0.5000 0.0000 0.5000
Pa: 0.5000 0.5000 0.0000
Ga: 0.0000 0.0000 0.5000
Ga: 0.0000 0.5000 0.0000
Ga: 0.5000 0.0000 0.0000
Ga: 0.5000 0.5000 0.5000
Fe: 0.2500 0.2500 0.7500
Fe: 0.2500 0.7500 0.2500
Fe: 0.7500 0.2500 0.2500
Fe: 0.7500 0.7500 0.7500
Au: 0.2500 0.2500 0.2500
Au: 0.2500 0.7500 0.7500
Au: 0.7500 0.2500 0.7500
Au: 0.7500 0.7500 0.2500

=====

Entry 2:
A relaxed structure of GaFePdAu. Source: Alexandria via LeMat-Bulk, functional PBE-GGA.

Computed properties:
N(E_F): 8.3 states/eV/cell
formation energy from the elements: -129 meV/atom

a = 6.2551 Å, b = 6.2551 Å, c = 6.2551 Å
α = 90.00°, β = 90.00°, γ = 90.00°
Atoms (fractional coordinates):
Ga: 0.0000 0.0000 0.0000
Ga: 0.0000 0.5000 0.5000
Ga: 0.5000 0.0000 0.5000
Ga: 0.5000 0.5000 0.0000
Fe: 0.0000 0.0000 0.5000
Fe: 0.0000 0.5000 0.0000
Fe: 0.5000 0.0000 0.0000
Fe: 0.5000 0.5000 0.5000
Pd: 0.2500 0.2500 0.7500
Pd: 0.2500 0.7500 0.2500
Pd: 0.7500 0.2500 0.2500
Pd: 0.7500 0.7500 0.7500
Au: 0.2500 0.2500 0.2500
Au: 0.2500 0.7500 0.7500
Au: 0.7500 0.2500 0.7500
Au: 0.7500 0.7500 0.2500

=====

Entry 3:
A relaxed structure of GaFePtAu. Source: Alexandria via LeMat-Bulk, functional PBE-GGA.

Computed properties:
N(E_F): 7.8 states/eV/cell
formation energy from the elements: -135 meV/atom

a = 6.2709 Å, b = 6.2709 Å, c = 6.2709 Å
α = 90.00°, β = 90.00°, γ = 90.00°
Atoms (fractional coordinates):
Ga: 0.0000 0.0000 0.0000
Ga: 0.0000 0.5000 0.5000
Ga: 0.5000 0.0000 0.5000
Ga: 0.5000 0.5000 0.0000
Fe: 0.0000 0.0000 0.5000
Fe: 0.0000 0.5000 0.0000
Fe: 0.5000 0.0000 0.0000
Fe: 0.5000 0.5000 0.5000
Pt: 0.2500 0.2500 0.7500
Pt: 0.2500 0.7500 0.2500
Pt: 0.7500 0.2500 0.2500
Pt: 0.7500 0.7500 0.7500
Au: 0.2500 0.2500 0.2500
Au: 0.2500 0.7500 0.7500
Au: 0.7500 0.2500 0.7500
Au: 0.7500 0.7500 0.2500

=====

Entry 4:
A relaxed structure of GaFeRuAu. Source: Alexandria via LeMat-Bulk, functional PBE-GGA.

Computed properties:
N(E_F): 13.3 states/eV/cell
formation energy from the elements: 40 meV/atom

a = 6.1715 Å, b = 6.1715 Å, c = 6.1715 Å
α = 90.00°, β = 90.00°, γ = 90.00°
Atoms (fractional coordinates):
Ga: 0.0000 0.0000 0.0000
Ga: 0.0000 0.5000 0.5000
Ga: 0.5000 0.0000 0.5000
Ga: 0.5000 0.5000 0.0000
Fe: 0.0000 0.0000 0.5000
Fe: 0.0000 0.5000 0.0000
Fe: 0.5000 0.0000 0.0000
Fe: 0.5000 0.5000 0.5000
Ru: 0.2500 0.2500 0.7500
Ru: 0.2500 0.7500 0.2500
Ru: 0.7500 0.2500 0.2500
Ru: 0.7500 0.7500 0.7500
Au: 0.2500 0.2500 0.2500
Au: 0.2500 0.7500 0.7500
Au: 0.7500 0.2500 0.7500
Au: 0.7500 0.7500 0.2500

=====

Entry 5:
A relaxed structure of ScGaFeAu2. Source: Alexandria via LeMat-Bulk, functional PBE-GGA.

Computed properties:
N(E_F): 4.7 states/eV/cell
formation energy from the elements: 609 meV/atom

a = 4.7566 Å, b = 4.7566 Å, c = 5.0421 Å
α = 90.00°, β = 90.00°, γ = 90.00°
Atoms (fractional coordinates):
Sc: 0.0000 0.0000 0.0000
Ga: 0.0000 0.0000 0.5000
Fe: 0.5000 0.5000 0.0000
Au: 0.0000 0.5000 0.5000
Au: 0.5000 0.0000 0.5000

=====

Entry 6:
A relaxed structure of TbGdFeAu. Source: Alexandria via LeMat-Bulk, functional PBE-GGA.

Computed properties:
N(E_F): 26.8 states/eV/cell
formation energy from the elements: -271 meV/atom

a = 7.0627 Å, b = 7.0627 Å, c = 7.0627 Å
α = 90.00°, β = 90.00°, γ = 90.00°
Atoms (fractional coordinates):
Tb: 0.0000 0.0000 0.0000
Tb: 0.0000 0.5000 0.5000
Tb: 0.5000 0.0000 0.5000
Tb: 0.5000 0.5000 0.0000
Gd: 0.0000 0.0000 0.5000
Gd: 0.0000 0.5000 0.0000
Gd: 0.5000 0.0000 0.0000
Gd: 0.5000 0.5000 0.5000
Fe: 0.2500 0.2500 0.7500
Fe: 0.2500 0.7500 0.2500
Fe: 0.7500 0.2500 0.2500
Fe: 0.7500 0.7500 0.7500
Au: 0.2500 0.2500 0.2500
Au: 0.2500 0.7500 0.7500
Au: 0.7500 0.2500 0.7500
Au: 0.7500 0.7500 0.2500

=====

Entry 7:
A relaxed structure of Fe2Ge2Au. Source: Alexandria via LeMat-Bulk, functional PBE-GGA.

Computed properties:
N(E_F): 9.7 states/eV/cell
energy above the most stable polymorph in this dataset: 0.0 meV/atom
formation energy from the elements: 91 meV/atom

a = 7.0720 Å, b = 7.0720 Å, c = 2.7976 Å
α = 90.00°, β = 90.00°, γ = 90.00°
Atoms (fractional coordinates):
Fe: 0.1366 0.3634 0.0000
Fe: 0.3634 0.8634 0.0000
Fe: 0.6366 0.1366 0.0000
Fe: 0.8634 0.6366 0.0000
Ge: 0.1580 0.6580 0.5000
Ge: 0.3420 0.1580 0.5000
Ge: 0.6580 0.8420 0.5000
Ge: 0.8420 0.3420 0.5000
Au: 0.0000 0.0000 0.0000
Au: 0.5000 0.5000 0.0000

=====

Entry 8:
A relaxed structure of Fe2GeAu2. Source: Alexandria via LeMat-Bulk, functional PBE-GGA.

Computed properties:
N(E_F): 8.5 states/eV/cell
formation energy from the elements: 159 meV/atom

a = 6.1911 Å, b = 6.1911 Å, c = 4.0944 Å
α = 90.00°, β = 90.00°, γ = 90.00°
Atoms (fractional coordinates):
Fe: 0.1333 0.3667 0.0000
Fe: 0.3667 0.8667 0.0000
Fe: 0.6333 0.1333 0.0000
Fe: 0.8667 0.6333 0.0000
Ge: 0.0000 0.0000 0.0000
Ge: 0.5000 0.5000 0.0000
Au: 0.1633 0.6633 0.5000
Au: 0.3367 0.1633 0.5000
Au: 0.6633 0.8367 0.5000
Au: 0.8367 0.3367 0.5000